1.
4
Lattice="3.038 0.000 0.000 0.000 4.997 0.000 0.000 0.000 4.998" Properties=species:S:1:pos:R:3 comment="Pu3Ni | Alexandria | PBE | optimized geometry" space_group=P4/mmm polymorph_energy_mev_per_atom=0 ef_kj_per_mol_atoms=6.3 pbc="T T T"
Pu 1.519 2.914 2.499
Pu 0.000 0.414 2.499
Ni 0.000 2.917 0.000
Pu 1.519 0.417 0.000



2.
10
Lattice="-2.411 9.099 -1.488 -6.650 -0.651 6.795 2.386 1.030 2.434" Properties=species:S:1:pos:R:3 comment="BaCa2Sn2 | Alexandria | PBE | optimized geometry" space_group=P4/mbm polymorph_energy_mev_per_atom=0 ef_kj_per_mol_atoms=-57.5 pbc="T T T"
Sn -2.966 7.818 2.202
Ba 0.000 0.000 0.000
Sn -3.709 1.660 5.538
Ca -2.802 0.878 2.375
Ca -6.259 7.570 2.931
Ca -2.324 5.592 -0.089
Sn -0.750 3.368 1.914
Ba -4.531 4.224 2.653
Sn -5.925 6.110 5.826
Ca -6.737 2.856 5.396



3.
11
Lattice="-3.670 1.318 -2.378 3.011 -3.357 -3.624 -1.182 -5.396 1.717" Properties=species:S:1:pos:R:3 comment="Tm2AlF8 | Alexandria | PBE | optimized geometry" space_group=C2/m e_form_raw_ev_per_fu=-39.98 pbc="T T T"
F 1.559 -4.562 -3.540
F 0.758 -7.373 -2.220
F -1.937 -4.049 -3.066
Al 0.000 0.000 0.000
Tm -0.124 -5.378 -2.151
Tm -1.717 -2.058 -2.134
F -3.400 -2.873 -0.744
F 0.096 -3.387 -1.218
F -2.599 -0.063 -2.064
F -1.134 -5.872 -0.110
F -0.707 -1.564 -4.174



4.
4
Lattice="8.674 0.013 0.008 8.212 2.795 0.008 8.212 1.365 2.438" Properties=species:S:1:pos:R:3 comment="CoMo2As | Alexandria | PBE | optimized geometry" space_group=R-3m ef_kj_per_mol_atoms=29.7 pbc="T T T"
Mo 0.076 0.013 0.007
Mo 12.473 2.074 1.219
As 6.275 1.043 0.613
Co 18.824 3.130 1.840